Compound: Hf2ZnGa3
Source: the Alexandria database
Functional: PBE-GGA
Structure: optimized geometry

POSCAR file:
```
Hf2ZnGa3
1.0
1.983 -6.375 0.000
1.983 6.375 0.000
0.000 0.000 4.131
Hf Zn Ga
2 1 3
direct
0.156 0.844 0.000
0.844 0.156 0.000
0.000 0.000 0.500
0.326 0.674 0.500
0.500 0.500 0.000
0.674 0.326 0.500
```

Results
**Calculated formation energy**: -2.5 eV per formula unit
**Raw total energy**: -5.4654 eV/atom